1.
DFT (PBE) results for a relaxed structure of HfTcHg2.

Cell: 6.7251 6.7251 6.7251 Å, 90.00 90.00 90.00°
Space group Fm-3m (No. 225)
Symmetry-distinct sites (fractional):
Hf: 0.0000 0.0000 0.0000 (multiplicity 4)
Tc: 0.0000 0.0000 0.5000 (multiplicity 4)
Hg: 0.2500 0.2500 0.2500 (multiplicity 8)

Properties
E above lowest polymorph, meV/atom: 0
ρ, g/cm³: 14.8
DFT formation energy, eV per atom: 0.349

=====

2.
DFT (PBE) results for a relaxed structure of CeAg3Se4.

Cell: 11.1575 7.8893 4.2815 Å, 90.00 94.61 90.00°
Space group C2/m (No. 12)
Symmetry-distinct sites (fractional):
Ce: 0.0000 0.0000 0.0000 (multiplicity 2)
Ag: 0.0000 0.5000 0.0000 (multiplicity 2)
Ag: 0.2500 0.2500 0.5000 (multiplicity 4)
Se: 0.0000 0.2485 0.5000 (multiplicity 4)
Se: 0.2436 0.5000 0.9226 (multiplicity 4)

Properties
Formation energy from raw total energies, eV/atom: -0.614
ρ, g/cm³: 6.9

=====

3.
DFT (PBE) results for a relaxed structure of Tb4ZnIr.

Cell: 13.4941 13.4941 13.4941 Å, 90.00 90.00 90.00°
Space group F-43m (No. 216)
Symmetry-distinct sites (fractional):
Tb: 0.0000 0.0000 0.1875 (multiplicity 24)
Tb: 0.0582 0.2500 0.7500 (multiplicity 24)
Tb: 0.1031 0.1031 0.3969 (multiplicity 16)
Zn: 0.1714 0.1714 0.1714 (multiplicity 16)
Ir: 0.1074 0.1074 0.6074 (multiplicity 16)

Properties
E above lowest polymorph, meV/atom: 0
ρ, g/cm³: 9.7
DFT formation energy, eV per atom: -0.485